Entry 1:
Co2PtRh | PBEsol | relaxed

a = 3.7306 Å, b = 3.7306 Å, c = 3.5982 Å
α = 90.00°, β = 90.00°, γ = 90.00°
Closest atoms and distances in Å follow each position.
Element x y z (fractional)
1 Co 0.0000 0.5000 0.0000  4 Rh 2.59, 4 Pt 2.59, 4 Co 2.64
2 Co 0.5000 0.0000 0.0000  4 Rh 2.59, 4 Pt 2.59, 4 Co 2.64
3 Pt 0.0000 0.0000 0.5000  8 Co 2.59, 4 Rh 2.64
4 Rh 0.5000 0.5000 0.5000  8 Co 2.59, 4 Pt 2.64

Output
DOS at the Fermi energy = 6.4 states/eV per cell
magnetic moment = 4.457 μB per formula unit
calculated total energy = -7.64 eV/atom

***

Entry 2:
CoPt2Rh | PBEsol | relaxed

a = 4.6387 Å, b = 4.6387 Å, c = 4.6387 Å
α = 131.83°, β = 131.83°, γ = 70.49°
Closest atoms and distances in Å follow each position.
Element x y z (fractional)
1 Co 0.0000 0.0000 0.0000  8 Pt 2.68, 4 Rh 2.68
2 Pt 0.2500 0.7500 0.5000  4 Rh 2.68, 4 Co 2.68, 4 Pt 2.68
3 Pt 0.5000 0.5000 0.0000  4 Co 2.68, 4 Rh 2.68, 4 Pt 2.68
4 Rh 0.7500 0.2500 0.5000  8 Pt 2.68, 4 Co 2.68

Output
DOS at the Fermi energy = 6.0 states/eV per cell
magnetic moment = 2.478 μB per formula unit
calculated total energy = -7.47 eV/atom

***

Entry 3:
CoPtRh | PBEsol | relaxed

a = 5.8325 Å, b = 5.8325 Å, c = 5.8325 Å
α = 153.55°, β = 153.55°, γ = 37.75°
Closest atoms and distances in Å follow each position.
Element x y z (fractional)
1 Co 0.0000 0.0000 0.0000  4 Rh 2.54, 4 Pt 2.61, 4 Co 2.67
2 Pt 0.6638 0.6638 0.0000  4 Co 2.61, 4 Pt 2.67, 4 Rh 2.76
3 Rh 0.3465 0.3465 0.0000  4 Co 2.54, 4 Rh 2.67, 4 Pt 2.76

Output
DOS at the Fermi energy = 4.5 states/eV per cell
offset from the most stable computed form = 0 meV/atom
magnetic moment = 2.453 μB per formula unit

***

Entry 4:
CoRuPt | PBEsol | relaxed

a = 2.6560 Å, b = 2.6560 Å, c = 6.3913 Å
α = 90.00°, β = 90.00°, γ = 120.00°
Closest atoms and distances in Å follow each position.
Element x y z (fractional)
1 Co 0.0000 0.0000 0.0000  3 Ru 2.48, 3 Pt 2.64, 6 Co 2.66
2 Ru 0.6667 0.3333 0.3053  3 Co 2.48, 6 Ru 2.66, 3 Pt 2.76
3 Pt 0.3333 0.6667 0.6643  3 Co 2.64, 6 Pt 2.66, 3 Ru 2.76

Output
DOS at the Fermi energy = 3.7 states/eV per cell
offset from the most stable computed form = 0 meV/atom
magnetic moment = 1.486 μB per formula unit

***

Entry 5:
CoRuPt | PBEsol | relaxed

a = 4.0440 Å, b = 4.0440 Å, c = 4.0440 Å
α = 60.00°, β = 60.00°, γ = 60.00°
Closest atoms and distances in Å follow each position.
Element x y z (fractional)
1 Co 0.0000 0.0000 0.0000  4 Pt 2.48
2 Ru 0.5000 0.5000 0.5000  4 Pt 2.48
3 Pt 0.7500 0.7500 0.7500  4 Co 2.48, 4 Ru 2.48

Output
DOS at the Fermi energy = 5.0 states/eV per cell
offset from the most stable computed form = 687 meV/atom
magnetic moment = 0.706 μB per formula unit

***

Entry 6:
ScCoPt2 | PBEsol | relaxed

a = 2.8493 Å, b = 4.4011 Å, c = 4.6980 Å
α = 90.00°, β = 90.00°, γ = 90.00°
Closest atoms and distances in Å follow each position.
Element x y z (fractional)
1 Sc 0.0000 0.0000 0.0000  8 Pt 2.68-2.81, 2 Co 2.80, 2 Sc 2.85
2 Co 0.0000 0.5000 0.6302  8 Pt 2.66-2.83, 2 Sc 2.80, 2 Co 2.85
3 Pt 0.5000 0.0000 0.5165  4 Co 2.68, 4 Sc 2.68-2.81, 4 Pt 2.79-2.85
4 Pt 0.5000 0.5000 0.1516  4 Co 2.66-2.83, 4 Sc 2.72, 4 Pt 2.79-2.85

Output
DOS at the Fermi energy = 3.5 states/eV per cell
magnetic moment = 1.620 μB per formula unit
calculated total energy = -7.64 eV/atom

***

Entry 7:
ScCoPt2 | PBEsol | relaxed

a = 4.7615 Å, b = 4.7615 Å, c = 4.6765 Å
α = 100.96°, β = 100.96°, γ = 34.73°
Closest atoms and distances in Å follow each position.
Element x y z (fractional)
1 Sc 0.0000 0.0000 0.0000  7 Pt 2.67-2.81, 3 Co 2.80-2.86, 2 Sc 2.84
2 Co 0.7512 0.7512 0.2911  7 Pt 2.60-2.83, 3 Sc 2.80-2.86, 2 Co 2.84
3 Pt 0.2469 0.2469 0.7655  4 Co 2.64-2.83, 3 Sc 2.69-2.74, 5 Pt 2.81-2.84
4 Pt 0.4906 0.4906 0.4787  3 Co 2.60-2.68, 4 Sc 2.67-2.81, 5 Pt 2.81-2.84

Output
DOS at the Fermi energy = 3.0 states/eV per cell
magnetic moment = 1.675 μB per formula unit
calculated total energy = -7.59 eV/atom

***

Entry 8:
ScCo3Pt | PBEsol | relaxed

a = 4.5028 Å, b = 4.5028 Å, c = 4.5028 Å
α = 90.00°, β = 90.00°, γ = 90.00°
Closest atoms and distances in Å follow each position.
Element x y z (fractional)
1 Sc 0.0000 0.0000 0.0000  12 Co 3.18
2 Co 0.0000 0.5000 0.5000  2 Pt 2.25
3 Co 0.5000 0.0000 0.5000  2 Pt 2.25
4 Co 0.5000 0.5000 0.0000  2 Pt 2.25
5 Pt 0.5000 0.5000 0.5000  6 Co 2.25

Output
DOS at the Fermi energy = 5.4 states/eV per cell
magnetic moment = 5.322 μB per formula unit
calculated total energy = -6.44 eV/atom

***

Entry 9:
ScCoPt2 | PBEsol | relaxed

a = 8.7529 Å, b = 8.7529 Å, c = 8.7529 Å
α = 18.65°, β = 18.65°, γ = 18.65°
Closest atoms and distances in Å follow each position.
Element x y z (fractional)
1 Sc 0.0000 0.0000 0.0000  6 Pt 2.78, 6 Sc 2.84
2 Co 0.5000 0.5000 0.5000  6 Pt 2.63, 6 Co 2.84
3 Pt 0.2463 0.2463 0.2463  3 Co 2.63, 3 Sc 2.78, 6 Pt 2.84
4 Pt 0.7537 0.7537 0.7537  3 Co 2.63, 3 Sc 2.78, 6 Pt 2.84

Output
DOS at the Fermi energy = 4.4 states/eV per cell
magnetic moment = 2.030 μB per formula unit
calculated total energy = -7.30 eV/atom

***

Entry 10:
Co2PtSe | PBEsol | relaxed

a = 4.2258 Å, b = 4.2258 Å, c = 4.2258 Å
α = 60.00°, β = 60.00°, γ = 60.00°
Closest atoms and distances in Å follow each position.
Element x y z (fractional)
1 Co 0.0000 0.0000 0.0000  4 Pt 2.59, 4 Co 2.59
2 Co 0.2500 0.2500 0.2500  4 Se 2.59, 4 Co 2.59
3 Pt 0.7500 0.7500 0.7500  4 Co 2.59, 4 Se 2.59
4 Se 0.5000 0.5000 0.5000  4 Co 2.59, 4 Pt 2.59

Output
DOS at the Fermi energy = 7.9 states/eV per cell
raw formation energy = 374 meV per atom
magnetic moment = 2.911 μB per formula unit

***

Entry 11:
CoPtSe2 | PBEsol | relaxed

a = 3.3435 Å, b = 3.3435 Å, c = 6.1178 Å
α = 90.00°, β = 90.00°, γ = 90.00°
Closest atoms and distances in Å follow each position.
Element x y z (fractional)
1 Co 0.0000 0.0000 0.0000  5 Se 2.37-2.55
2 Pt 0.5000 0.5000 0.2387  5 Se 2.41-2.53
3 Se 0.0000 0.0000 0.3866  1 Co 2.37, 4 Pt 2.53
4 Se 0.5000 0.5000 0.8445  1 Pt 2.41, 4 Co 2.55

Output
DOS at the Fermi energy = 2.2 states/eV per cell
raw formation energy = -57 meV per atom
offset from the most stable computed form = 31 meV/atom
magnetic moment = 0.001 μB per formula unit

***

Entry 12:
Co2PtSe | PBEsol | relaxed

a = 2.7701 Å, b = 2.7701 Å, c = 7.0036 Å
α = 90.00°, β = 90.00°, γ = 90.00°
Closest atoms and distances in Å follow each position.
Element x y z (fractional)
1 Co 0.0000 0.0000 0.0000  4 Se 2.44, 4 Co 2.49
2 Co 0.5000 0.5000 0.2192  8 Co 2.49-2.77, 4 Pt 2.57
3 Pt 0.0000 0.0000 0.4563  4 Co 2.57, 4 Pt 2.77
4 Se 0.5000 0.5000 0.7913  4 Co 2.44

Output
DOS at the Fermi energy = 4.4 states/eV per cell
raw formation energy = 183 meV per atom
magnetic moment = 3.088 μB per formula unit

***

Entry 13:
Co2PtSe | PBEsol | relaxed

a = 4.5823 Å, b = 4.5823 Å, c = 4.5823 Å
α = 131.65°, β = 131.65°, γ = 70.79°
Closest atoms and distances in Å follow each position.
Element x y z (fractional)
1 Co 0.0000 0.0000 0.0000  4 Se 2.65, 4 Co 2.65, 4 Pt 2.65
2 Co 0.7500 0.2500 0.5000  4 Co 2.65, 4 Pt 2.65, 4 Se 2.65
3 Pt 0.5000 0.5000 0.0000  4 Se 2.65, 8 Co 2.65
4 Se 0.2500 0.7500 0.5000  8 Co 2.65, 4 Pt 2.65

Output
DOS at the Fermi energy = 4.3 states/eV per cell
raw formation energy = 252 meV per atom
magnetic moment = 3.262 μB per formula unit

***

Entry 14:
CoPtSe2 | PBEsol | relaxed

a = 7.6047 Å, b = 7.6047 Å, c = 7.6047 Å
α = 25.00°, β = 25.00°, γ = 25.00°
Closest atoms and distances in Å follow each position.
Element x y z (fractional)
1 Co 0.0000 0.0000 0.0000  6 Se 2.31
2 Pt 0.5000 0.5000 0.5000  2 Se 2.37
3 Se 0.3929 0.3929 0.3929  3 Co 2.31, 1 Pt 2.37
4 Se 0.6071 0.6071 0.6071  3 Co 2.31, 1 Pt 2.37

Output
DOS at the Fermi energy = 3.3 states/eV per cell
raw formation energy = -88 meV per atom
offset from the most stable computed form = 0 meV/atom
magnetic moment = 0.001 μB per formula unit

***

Entry 15:
Co2PtSe | PBEsol | relaxed

a = 5.0542 Å, b = 5.0542 Å, c = 5.0542 Å
α = 146.44°, β = 131.86°, γ = 59.96°
Closest atoms and distances in Å follow each position.
Element x y z (fractional)
1 Co 0.0000 0.0000 0.0000  2 Se 2.34, 4 Pt 2.56
2 Co 0.7266 0.2266 0.5000  4 Se 2.53, 2 Pt 2.80, 2 Co 2.80
3 Pt 0.4532 0.4532 0.0000  8 Co 2.56-2.86, 2 Se 2.59
4 Se 0.2091 0.7091 0.5000  6 Co 2.34-2.53, 2 Pt 2.59

Output
DOS at the Fermi energy = 5.7 states/eV per cell
raw formation energy = 230 meV per atom
magnetic moment = 2.715 μB per formula unit